A | 4
Lattice="3.0403 0.0000 0.0000 0.0000 3.0403 0.0000 0.0000 0.0000 5.7302" Properties=species:S:1:pos:R:3 comment="LiCrW2 | Alexandria via LeMat-Bulk | SCAN | single point on PBEsol structure" spacegroup="P4/mmm, No. 123" m_tot_mub_per_atom=0.000 pbc="T T T"
Li 0.0000 0.0000 0.0000
Cr 0.0000 0.0000 2.8651
W 1.5201 1.5201 1.4396
W 1.5201 1.5201 4.2906



B | 4
Lattice="2.5869 0.0000 0.0000 0.0000 4.2169 0.0000 -0.7977 0.0000 5.0708" Properties=species:S:1:pos:R:3 comment="LiCrW2 | Alexandria via LeMat-Bulk | SCAN | single point on PBEsol structure" spacegroup="P2/m, No. 10" m_tot_mub_per_atom=0.000 pbc="T T T"
Li 0.0000 0.0000 0.0000
Cr 0.8946 0.0000 2.5354
W 0.0226 2.1084 3.7804
W 1.7666 2.1084 1.2904



Most stable pick: B. Distance to second place: 0.149 eV/atom.



A | 4
Lattice="3.6776 0.0000 0.0000 0.0000 3.6776 0.0000 0.0000 0.0000 3.7157" Properties=species:S:1:pos:R:3 comment="MgCr2P | Alexandria via LeMat-Bulk | SCAN | single point on PBEsol structure" spacegroup="P4/mmm, No. 123" m_tot_mub_per_atom=0.677 pbc="T T T"
Mg 0.0000 0.0000 0.0000
Cr 0.0000 1.8388 1.8579
Cr 1.8388 0.0000 1.8579
P 1.8388 1.8388 0.0000



B | 4
Lattice="1.5936 -2.2191 0.0000 1.5936 2.2191 0.0000 0.0000 0.0000 7.5379" Properties=species:S:1:pos:R:3 comment="MgCr2P | Alexandria via LeMat-Bulk | SCAN | single point on PBEsol structure" spacegroup="Cmmm, No. 65" m_tot_mub_per_atom=1.004 pbc="T T T"
Mg 0.0000 0.0000 0.0000
Cr 1.5936 0.0000 2.2495
Cr 1.5936 0.0000 5.2884
P 0.0000 0.0000 3.7690



C | 4
Lattice="3.7603 -1.4695 0.0000 3.7603 1.4695 0.0000 -0.8733 0.0000 5.2543" Properties=species:S:1:pos:R:3 comment="MgCr2P | Alexandria via LeMat-Bulk | SCAN | single point on PBEsol structure" spacegroup="Cm, No. 8" m_tot_mub_per_atom=0.099 pbc="T T T"
Mg 0.0000 0.0000 0.0000
Cr 3.3392 0.0000 2.6417
Cr 5.4502 0.0000 1.8423
P 1.1963 0.0000 3.5892



Most stable pick: C. Distance to second place: 0.106 eV/atom.



A | 4
Lattice="2.6799 0.0000 0.0000 0.0000 4.0979 0.0000 -0.3197 0.0000 4.6740" Properties=species:S:1:pos:R:3 comment="MgCr2P | Alexandria via LeMat-Bulk | SCAN | single point on PBEsol structure" spacegroup="P2/m, No. 10" m_tot_mub_per_atom=0.000 pbc="T T T"
Mg 0.0000 0.0000 0.0000
Cr 0.7343 2.0490 3.4723
Cr 1.6259 2.0490 1.2017
P 1.1801 0.0000 2.3370



B | 4
Lattice="1.5411 -2.1935 0.0000 1.5411 2.1935 0.0000 0.0000 0.0000 7.9476" Properties=species:S:1:pos:R:3 comment="MgCr2P | Alexandria via LeMat-Bulk | SCAN | single point on PBEsol structure" spacegroup="Cmm2, No. 35" m_tot_mub_per_atom=0.000 pbc="T T T"
Mg 0.0000 0.0000 0.0000
Cr 0.0000 0.0000 4.0355
Cr 1.5411 0.0000 5.7361
P 1.5411 0.0000 2.2953



Most stable pick: B. Distance to second place: 0.021 eV/atom.



A | 4
Lattice="1.6131 -2.0446 0.0000 1.6131 2.0446 0.0000 0.0000 0.0000 9.1106" Properties=species:S:1:pos:R:3 comment="MgCrP2 | Alexandria via LeMat-Bulk | SCAN | single point on PBEsol structure" spacegroup="Cmm2, No. 35" m_tot_mub_per_atom=0.000 pbc="T T T"
Mg 0.0000 0.0000 0.0000
Cr 1.6131 0.0000 2.1985
P 0.0000 0.0000 3.8565
P 1.6131 0.0000 6.9765



B | 4
Lattice="1.5840 0.9145 6.7273 -1.5840 0.9145 6.7273 0.0000 -1.8291 6.7273" Properties=species:S:1:pos:R:3 comment="MgCrP2 | Alexandria via LeMat-Bulk | SCAN | single point on PBEsol structure" spacegroup="R-3m, No. 166" m_tot_mub_per_atom=0.000 pbc="T T T"
Mg 0.0000 0.0000 0.0000
Cr 0.0000 0.0000 10.0910
P 0.0000 0.0000 4.8064
P 0.0000 0.0000 15.3756



Most stable pick: B. Distance to second place: 0.578 eV/atom.



A | 4
Lattice="3.6733 -1.5696 0.0000 3.6733 1.5696 0.0000 -1.3004 0.0000 4.9366" Properties=species:S:1:pos:R:3 comment="MgCrP2 | Alexandria via LeMat-Bulk | SCAN | single point on PBEsol structure" spacegroup="C2/m, No. 12" m_tot_mub_per_atom=0.000 pbc="T T T"
Mg 0.0000 0.0000 0.0000
Cr 3.0231 0.0000 2.4683
P 0.8445 0.0000 3.3263
P 5.2017 0.0000 1.6103



B | 4
Lattice="2.7168 -3.3084 0.0000 2.7168 3.3084 0.0000 -0.0834 0.0000 3.2502" Properties=species:S:1:pos:R:3 comment="MgCrP2 | Alexandria via LeMat-Bulk | SCAN | single point on PBEsol structure" spacegroup="C2/m, No. 12" m_tot_mub_per_atom=0.854 pbc="T T T"
Mg 0.0000 0.0000 0.0000
Cr 2.7168 0.0000 0.0000
P 1.3167 1.6542 1.6251
P 1.3167 -1.6542 1.6251



Most stable pick: A. Distance to second place: 0.080 eV/atom.



A | 4
Lattice="3.6280 0.0000 0.0000 0.0000 3.6280 0.0000 0.0000 0.0000 6.0420" Properties=species:S:1:pos:R:3 comment="Mg2CrSb | Alexandria via LeMat-Bulk | SCAN | single point on PBEsol structure" spacegroup="P4mm, No. 99" m_tot_mub_per_atom=0.861 pbc="T T T"
Mg 0.0000 0.0000 0.0000
Mg 1.8140 1.8140 1.5571
Cr 1.8140 1.8140 4.4702
Sb 0.0000 0.0000 3.2514



B | 4
Lattice="-2.1020 2.1020 4.3949 2.1020 -2.1020 4.3949 2.1020 2.1020 -4.3949" Properties=species:S:1:pos:R:3 comment="Mg2CrSb | Alexandria via LeMat-Bulk | SCAN | single point on PBEsol structure" spacegroup="I-4m2, No. 119" m_tot_mub_per_atom=0.959 pbc="T T T"
Mg 0.0000 0.0000 0.0000
Mg 0.0000 2.1020 2.1974
Cr 0.0000 0.0000 4.3949
Sb 2.1020 0.0000 2.1974



C | 4
Lattice="4.2710 0.0000 0.0000 0.0000 4.2710 0.0000 0.0000 0.0000 4.2980" Properties=species:S:1:pos:R:3 comment="Mg2CrSb | Alexandria via LeMat-Bulk | SCAN | single point on PBEsol structure" spacegroup="P4/mmm, No. 123" m_tot_mub_per_atom=1.078 pbc="T T T"
Mg 0.0000 2.1355 0.0000
Mg 2.1355 0.0000 0.0000
Cr 0.0000 0.0000 2.1490
Sb 2.1355 2.1355 2.1490



Most stable pick: C. Distance to second place: 0.095 eV/atom.



A | 4
Lattice="-2.1086 2.5629 3.9905 2.1086 -2.5629 3.9905 2.1086 2.5629 -3.9905" Properties=species:S:1:pos:R:3 comment="MgCrSb2 | Alexandria via LeMat-Bulk | SCAN | single point on PBEsol structure" spacegroup="Immm, No. 71" m_tot_mub_per_atom=0.944 pbc="T T T"
Mg 0.0000 0.0000 0.0000
Cr 0.0000 0.0000 3.9905
Sb 2.1086 0.0000 2.1316
Sb 0.0000 2.5629 1.8589



B | 4
Lattice="0.0000 3.5561 3.5561 3.5561 0.0000 3.5561 3.5561 3.5561 0.0000" Properties=species:S:1:pos:R:3 comment="MgCrSb2 | Alexandria via LeMat-Bulk | SCAN | single point on PBEsol structure" spacegroup="F-43m, No. 216" m_tot_mub_per_atom=1.079 pbc="T T T"
Mg 0.0000 0.0000 0.0000
Cr 5.3342 5.3342 5.3342
Sb 1.7781 1.7781 1.7781
Sb 3.5561 3.5561 3.5561



Most stable pick: A. Distance to second place: 0.230 eV/atom.



A | 4
Lattice="3.2425 0.0000 0.0000 0.0000 4.0865 0.0000 0.0000 0.0000 4.5228" Properties=species:S:1:pos:R:3 comment="Mg2CrTc | Alexandria via LeMat-Bulk | SCAN | single point on PBEsol structure" spacegroup="Pmmm, No. 47" m_tot_mub_per_atom=0.301 pbc="T T T"
Mg 0.0000 0.0000 0.0000
Mg 1.6213 2.0432 0.0000
Cr 0.0000 2.0432 2.2614
Tc 1.6213 0.0000 2.2614



B | 4
Lattice="2.6018 0.0000 0.0000 0.0000 2.6018 0.0000 0.0000 0.0000 8.8506" Properties=species:S:1:pos:R:3 comment="Mg2CrTc | Alexandria via LeMat-Bulk | SCAN | single point on PBEsol structure" spacegroup="P4/mmm, No. 123" m_tot_mub_per_atom=0.001 pbc="T T T"
Mg 0.0000 0.0000 2.1717
Mg 0.0000 0.0000 6.6789
Cr 1.3009 1.3009 0.0000
Tc 1.3009 1.3009 4.4253



C | 4
Lattice="0.0000 3.1827 3.1827 3.1827 0.0000 3.1827 3.1827 3.1827 0.0000" Properties=species:S:1:pos:R:3 comment="Mg2CrTc | Alexandria via LeMat-Bulk | SCAN | single point on PBEsol structure" spacegroup="Fm-3m, No. 225" m_tot_mub_per_atom=0.799 pbc="T T T"
Mg 1.5913 1.5913 1.5913
Mg 4.7740 4.7740 4.7740
Cr 0.0000 0.0000 0.0000
Tc 3.1827 3.1827 3.1827



Most stable pick: A. Distance to second place: 0.083 eV/atom.



A | 5
Lattice="-2.2614 2.2614 5.6924 2.2614 -2.2614 5.6924 2.2614 2.2614 -5.6924" Properties=species:S:1:pos:R:3 comment="Y2MgCr2 | Alexandria via LeMat-Bulk | SCAN | single point on PBEsol structure" spacegroup="I4/mmm, No. 139" m_tot_mub_per_atom=0.273 pbc="T T T"
Y 2.2614 0.0000 2.8462
Y 0.0000 2.2614 2.8462
Mg 0.0000 0.0000 0.0000
Cr 0.0000 0.0000 4.8054
Cr 0.0000 0.0000 6.5794



B | 5
Lattice="-1.6396 1.6396 10.0530 1.6396 -1.6396 10.0530 1.6396 1.6396 -10.0530" Properties=species:S:1:pos:R:3 comment="Y2MgCr2 | Alexandria via LeMat-Bulk | SCAN | single point on PBEsol structure" spacegroup="I4/mmm, No. 139" m_tot_mub_per_atom=0.003 pbc="T T T"
Y 0.0000 0.0000 2.5769
Y 0.0000 0.0000 17.5291
Mg 0.0000 0.0000 10.0530
Cr 1.6396 0.0000 5.0265
Cr 0.0000 1.6396 5.0265



Most stable pick: B. Distance to second place: 0.446 eV/atom.



A | 3
Lattice="2.6112 0.0000 0.0000 -1.3056 2.2614 0.0000 0.0000 0.0000 6.1795" Properties=species:S:1:pos:R:3 comment="MnCrOs | Alexandria via LeMat-Bulk | SCAN | single point on PBEsol structure" spacegroup="P3m1, No. 156" m_tot_mub_per_atom=0.920 pbc="T T T"
Mn 0.0000 0.0000 0.0000
Cr 1.3056 0.7538 1.9330
Os 0.0000 1.5076 4.0628



B | 3
Lattice="3.9951 0.0000 0.0000 -1.9975 3.4599 0.0000 0.0000 0.0000 2.5856" Properties=species:S:1:pos:R:3 comment="MnCrOs | Alexandria via LeMat-Bulk | SCAN | single point on PBEsol structure" spacegroup="P-6m2, No. 187" m_tot_mub_per_atom=0.130 pbc="T T T"
Mn 0.0000 0.0000 0.0000
Cr 0.0000 2.3066 0.0000
Os 1.9976 1.1533 1.2928



Most stable pick: B. Distance to second place: 0.103 eV/atom.



A | 6
Lattice="4.4051 0.0000 0.0000 -2.2026 3.8150 0.0000 0.0000 0.0000 5.2764" Properties=species:S:1:pos:R:3 comment="MnCrSb | Alexandria via LeMat-Bulk | SCAN | single point on PBEsol structure" spacegroup="P6_3/mmc, No. 194" m_tot_mub_per_atom=2.013 pbc="T T T"
Mn 0.0000 0.0000 0.0000
Mn 0.0000 0.0000 2.6382
Cr 0.0000 2.5433 1.3191
Cr 2.2026 1.2717 3.9573
Sb 0.0000 2.5433 3.9573
Sb 2.2026 1.2717 1.3191



B | 3
Lattice="4.2195 0.0000 0.0000 -2.1098 3.6542 0.0000 0.0000 0.0000 3.0056" Properties=species:S:1:pos:R:3 comment="MnCrSb | Alexandria via LeMat-Bulk | SCAN | single point on PBEsol structure" spacegroup="P3m1, No. 156" m_tot_mub_per_atom=0.070 pbc="T T T"
Mn 0.0000 0.0000 0.0000
Cr 0.0000 2.4362 0.8933
Sb 2.1098 1.2181 2.0585



C | 3
Lattice="0.0000 2.9040 2.9040 2.9040 0.0000 2.9040 2.9040 2.9040 0.0000" Properties=species:S:1:pos:R:3 comment="MnCrSb | Alexandria via LeMat-Bulk | SCAN | single point on PBEsol structure" spacegroup="F-43m, No. 216" m_tot_mub_per_atom=0.023 pbc="T T T"
Mn 0.0000 0.0000 0.0000
Cr 1.4520 1.4520 1.4520
Sb 4.3560 4.3560 4.3560



Most stable pick: C. Distance to second place: 0.230 eV/atom.



A | 3
Lattice="0.0000 3.0612 3.0612 3.0612 0.0000 3.0612 3.0612 3.0612 0.0000" Properties=species:S:1:pos:R:3 comment="MnTlCr | Alexandria via LeMat-Bulk | SCAN | single point on PBEsol structure" spacegroup="F-43m, No. 216" m_tot_mub_per_atom=0.036 pbc="T T T"
Mn 0.0000 0.0000 0.0000
Tl 3.0612 3.0612 3.0612
Cr 1.5306 1.5306 1.5306



B | 3
Lattice="2.9947 0.0000 0.0000 -1.4973 2.5935 0.0000 0.0000 0.0000 6.2157" Properties=species:S:1:pos:R:3 comment="MnTlCr | Alexandria via LeMat-Bulk | SCAN | single point on PBEsol structure" spacegroup="P3m1, No. 156" m_tot_mub_per_atom=0.036 pbc="T T T"
Mn 0.0000 0.0000 0.0000
Tl 1.4973 0.8645 3.8460
Cr 0.0000 1.7290 1.4277



Most stable pick: A. Distance to second place: 0.066 eV/atom.



A | 4
Lattice="3.0564 0.0000 0.0000 0.0000 3.0564 0.0000 0.0000 0.0000 6.5538" Properties=species:S:1:pos:R:3 comment="YMnCr2 | Alexandria via LeMat-Bulk | SCAN | single point on PBEsol structure" spacegroup="P4/mmm, No. 123" m_tot_mub_per_atom=0.308 pbc="T T T"
Y 0.0000 0.0000 0.0000
Mn 0.0000 0.0000 3.2769
Cr 1.5282 1.5282 2.2331
Cr 1.5282 1.5282 4.3207



B | 4
Lattice="2.8954 0.0000 0.0000 0.0000 3.3910 0.0000 -0.9153 0.0000 6.2615" Properties=species:S:1:pos:R:3 comment="YMnCr2 | Alexandria via LeMat-Bulk | SCAN | single point on PBEsol structure" spacegroup="P2/m, No. 10" m_tot_mub_per_atom=0.000 pbc="T T T"
Y 0.0000 0.0000 0.0000
Mn -0.4577 0.0000 3.1307
Cr 0.6525 1.6955 4.1289
Cr 1.3275 1.6955 2.1326



Most stable pick: A. Distance to second place: 0.056 eV/atom.